A relaxed structure of ScAgH2, computed with PBE.

As for the raw total energy: -4.063 eV/atom.

It has space group I-42d (No. 122), with a = 4.407 Å, b = 4.407 Å, c = 10.126 Å, α = 90.00°, β = 90.00° and γ = 90.00°. The inequivalent atoms are Sc at (0.000, 0.000, 0.000), Ag at (0.000, 0.000, 0.500) and H at (0.220, 0.250, 0.125).

---

A relaxed structure of ScAgH3, computed with PBE.

As for the raw total energy: -3.738 eV/atom.

It has space group Pm-3m (No. 221), with a = 3.694 Å, b = 3.694 Å, c = 3.694 Å, α = 90.00°, β = 90.00° and γ = 90.00°. The inequivalent atoms are Sc at (0.000, 0.000, 0.000), Ag at (0.500, 0.500, 0.500) and H at (0.000, 0.500, 0.500).

---

A relaxed structure of Sc4Ag2H, computed with PBE.

As for the raw total energy: -5.062 eV/atom.

It has space group I4/mmm (No. 139), with a = 4.358 Å, b = 4.358 Å, c = 14.321 Å, α = 90.00°, β = 90.00° and γ = 90.00°. The inequivalent atoms are Sc at (0.000, 0.000, 0.178), Sc at (0.000, 0.500, 0.000), Ag at (0.000, 0.000, 0.368) and H at (0.000, 0.000, 0.000).

---

A relaxed structure of Sc3AgH, computed with PBE.

As for the raw total energy: -5.234 eV/atom.

It has space group Pm-3m (No. 221), with a = 4.457 Å, b = 4.457 Å, c = 4.457 Å, α = 90.00°, β = 90.00° and γ = 90.00°. The inequivalent atoms are Sc at (0.000, 0.000, 0.500), Ag at (0.500, 0.500, 0.500) and H at (0.000, 0.000, 0.000).

---

A relaxed structure of Sc3AgH, computed with PBE.

As for the raw total energy: -4.169 eV/atom.

It has space group Pm-3m (No. 221), with a = 5.209 Å, b = 5.209 Å, c = 5.209 Å, α = 90.00°, β = 90.00° and γ = 90.00°. The inequivalent atoms are Sc at (0.000, 0.000, 0.500), Ag at (0.000, 0.000, 0.000) and H at (0.500, 0.500, 0.500).

---

A relaxed structure of Sc2AgH, computed with PBE.

As for the raw total energy: -4.770 eV/atom.

It has space group R-3m (No. 166, hexagonal axes), with a = 3.1514 Å, b = 3.1514 Å, c = 24.1551 Å, α = 90.00°, β = 90.00° and γ = 120.00°. The inequivalent atoms are Sc at (0.0000, 0.0000, 0.1160), Ag at (0.0000, 0.0000, 0.0000) and H at (0.0000, 0.0000, 0.5000).

---

A relaxed structure of Sc2AgSnH, computed with PBE.

As for the raw total energy: -5.015 eV/atom.

It has space group P4/mmm (No. 123), with a = 4.473 Å, b = 4.473 Å, c = 4.273 Å, α = 90.00°, β = 90.00° and γ = 90.00°. The inequivalent atoms are Sc at (0.000, 0.500, 0.000), Ag at (0.000, 0.000, 0.500), Sn at (0.500, 0.500, 0.500) and H at (0.000, 0.000, 0.000).

---

A relaxed structure of ScAg2SnH, computed with PBE.

As for the raw total energy: -4.081 eV/atom.

It has space group P4/mmm (No. 123), with a = 4.335 Å, b = 4.335 Å, c = 4.422 Å, α = 90.00°, β = 90.00° and γ = 90.00°. The inequivalent atoms are Sc at (0.000, 0.000, 0.000), Ag at (0.000, 0.500, 0.500), Sn at (0.500, 0.500, 0.000) and H at (0.000, 0.000, 0.500).

---

A relaxed structure of ScTi2AgH, computed with PBE.

As for the raw total energy: -5.763 eV/atom.

It has space group P4/mmm (No. 123), with a = 4.109 Å, b = 4.109 Å, c = 4.450 Å, α = 90.00°, β = 90.00° and γ = 90.00°. The inequivalent atoms are Sc at (0.000, 0.000, 0.000), Ti at (0.000, 0.500, 0.500), Ag at (0.500, 0.500, 0.000) and H at (0.000, 0.000, 0.500).

---

A relaxed structure of ScTlAg2H, computed with PBE.

As for the raw total energy: -3.611 eV/atom.

It has space group P4/mmm (No. 123), with a = 4.494 Å, b = 4.494 Å, c = 4.217 Å, α = 90.00°, β = 90.00° and γ = 90.00°. The inequivalent atoms are Sc at (0.000, 0.000, 0.000), Tl at (0.500, 0.500, 0.000), Ag at (0.000, 0.500, 0.500) and H at (0.000, 0.000, 0.500).

---

A relaxed structure of ScAg2HW, computed with PBE.

As for the raw total energy: -3.985 eV/atom.

It has space group P4/mmm (No. 123), with a = 5.153 Å, b = 5.153 Å, c = 4.953 Å, α = 90.00°, β = 90.00° and γ = 90.00°. The inequivalent atoms are Sc at (0.000, 0.000, 0.000), Ag at (0.000, 0.500, 0.500), H at (0.500, 0.500, 0.000) and W at (0.000, 0.000, 0.500).

---

A relaxed structure of Y2ScAgH, computed with PBE.

As for the raw total energy: -5.266 eV/atom.

It has space group P4/mmm (No. 123), with a = 4.964 Å, b = 4.964 Å, c = 4.227 Å, α = 90.00°, β = 90.00° and γ = 90.00°. The inequivalent atoms are Y at (0.000, 0.500, 0.000), Sc at (0.000, 0.000, 0.500), Ag at (0.500, 0.500, 0.500) and H at (0.000, 0.000, 0.000).